# Sm2DyTl9 | Alexandria via LeMat-Bulk | GGA-PBE | relaxed
data_Sm2DyTl9
_chemical_formula_sum 'Sm2 Dy1 Tl9'
_cell_length_a 4.794
_cell_length_b 4.794
_cell_length_c 14.379
_cell_angle_alpha 90.00
_cell_angle_beta 90.00
_cell_angle_gamma 90.00
_symmetry_space_group_name_H-M 'P 1'
_symmetry_Int_Tables_number 1
loop_
_symmetry_equiv_pos_as_xyz
'x,y,z'
loop_
_atom_site_label
_atom_site_fract_x
_atom_site_fract_y
_atom_site_fract_z
_atom_site_occupancy
Sm1 0.000 0.000 0.167 1
Sm2 0.000 0.000 0.833 1
Dy1 0.000 0.000 0.500 1
Tl1 0.000 0.500 0.000 1
Tl2 0.000 0.500 0.335 1
Tl3 0.000 0.500 0.665 1
Tl4 0.500 0.000 0.000 1
Tl5 0.500 0.000 0.335 1
Tl6 0.500 0.000 0.665 1
Tl7 0.500 0.500 0.167 1
Tl8 0.500 0.500 0.500 1
Tl9 0.500 0.500 0.833 1
# Raw total energy, eV per atom: -3.219
# Space group: P4/mmm
# E_form, eV/f.u.: -3.3

***

# SrMg4Hg | Alexandria via LeMat-Bulk | GGA-PBE | relaxed
data_SrMg4Hg
_chemical_formula_sum 'Sr1 Mg4 Hg1'
_cell_length_a 6.153
_cell_length_b 6.153
_cell_length_c 6.153
_cell_angle_alpha 60.00
_cell_angle_beta 60.00
_cell_angle_gamma 60.00
_symmetry_space_group_name_H-M 'P 1'
_symmetry_Int_Tables_number 1
loop_
_symmetry_equiv_pos_as_xyz
'x,y,z'
loop_
_atom_site_label
_atom_site_fract_x
_atom_site_fract_y
_atom_site_fract_z
_atom_site_occupancy
Sr1 0.000 0.000 0.000 1
Mg1 0.375 0.375 0.375 1
Mg2 0.375 0.375 0.874 1
Mg3 0.375 0.874 0.375 1
Mg4 0.874 0.375 0.375 1
Hg1 0.750 0.750 0.750 1
# Raw total energy, eV per atom: -1.429
# Space group: F-43m
# E_form, eV/f.u.: -0.2
# Distance to the lowest polymorph of the same formula, meV/atom: 146.1

***

# CdCu2Sn | Alexandria via LeMat-Bulk | GGA-PBE | relaxed
data_CdCu2Sn
_chemical_formula_sum 'Cd1 Cu2 Sn1'
_cell_length_a 4.327
_cell_length_b 4.327
_cell_length_c 3.718
_cell_angle_alpha 90.00
_cell_angle_beta 90.00
_cell_angle_gamma 90.00
_symmetry_space_group_name_H-M 'P 1'
_symmetry_Int_Tables_number 1
loop_
_symmetry_equiv_pos_as_xyz
'x,y,z'
loop_
_atom_site_label
_atom_site_fract_x
_atom_site_fract_y
_atom_site_fract_z
_atom_site_occupancy
Cd1 0.000 0.000 0.000 1
Cu1 0.000 0.500 0.500 1
Cu2 0.500 0.000 0.500 1
Sn1 0.500 0.500 0.000 1
# Raw total energy, eV per atom: -3.151
# Space group: P4/mmm
# E_form, eV/f.u.: 0.5

***

# ScUTc4 | Alexandria via LeMat-Bulk | GGA-PBE | relaxed
data_ScUTc4
_chemical_formula_sum 'Sc1 U1 Tc4'
_cell_length_a 5.304
_cell_length_b 5.304
_cell_length_c 4.303
_cell_angle_alpha 105.51
_cell_angle_beta 105.51
_cell_angle_gamma 103.55
_symmetry_space_group_name_H-M 'P 1'
_symmetry_Int_Tables_number 1
loop_
_symmetry_equiv_pos_as_xyz
'x,y,z'
loop_
_atom_site_label
_atom_site_fract_x
_atom_site_fract_y
_atom_site_fract_z
_atom_site_occupancy
Sc1 0.000 0.000 0.000 1
U1 0.500 0.500 0.500 1
Tc1 0.123 0.454 0.760 1
Tc2 0.454 0.123 0.760 1
Tc3 0.546 0.877 0.240 1
Tc4 0.877 0.546 0.240 1
# Raw total energy, eV per atom: -9.781
# Space group: C2/m
# E_form, eV/f.u.: 0.4
# Distance to the lowest polymorph of the same formula, meV/atom: 89.7

***

# NaMg3Cd2 | Alexandria via LeMat-Bulk | GGA-PBE | relaxed
data_NaMg3Cd2
_chemical_formula_sum 'Na1 Mg3 Cd2'
_cell_length_a 6.057
_cell_length_b 6.057
_cell_length_c 4.826
_cell_angle_alpha 90.00
_cell_angle_beta 90.00
_cell_angle_gamma 120.00
_symmetry_space_group_name_H-M 'P 1'
_symmetry_Int_Tables_number 1
loop_
_symmetry_equiv_pos_as_xyz
'x,y,z'
loop_
_atom_site_label
_atom_site_fract_x
_atom_site_fract_y
_atom_site_fract_z
_atom_site_occupancy
Na1 0.000 0.000 0.000 1
Mg1 0.000 0.500 0.505 1
Mg2 0.500 0.000 0.505 1
Mg3 0.500 0.500 0.505 1
Cd1 0.333 0.667 0.004 1
Cd2 0.667 0.333 0.004 1
# Raw total energy, eV per atom: -1.338
# Space group: P6mm
# E_form, eV/f.u.: -0.1
# Distance to the lowest polymorph of the same formula, meV/atom: 30.4

***

# CaLaY | Alexandria via LeMat-Bulk | GGA-PBE | relaxed
data_CaLaY
_chemical_formula_sum 'Ca1 La1 Y1'
_cell_length_a 3.711
_cell_length_b 3.711
_cell_length_c 9.244
_cell_angle_alpha 90.00
_cell_angle_beta 90.00
_cell_angle_gamma 120.00
_symmetry_space_group_name_H-M 'P 1'
_symmetry_Int_Tables_number 1
loop_
_symmetry_equiv_pos_as_xyz
'x,y,z'
loop_
_atom_site_label
_atom_site_fract_x
_atom_site_fract_y
_atom_site_fract_z
_atom_site_occupancy
Ca1 0.000 0.000 0.000 1
La1 0.667 0.333 0.356 1
Y1 0.333 0.667 0.664 1
# Raw total energy, eV per atom: -4.419
# Space group: P3m1
# E_form, eV/f.u.: 0.1
# Distance to the lowest polymorph of the same formula, meV/atom: 6.7